Density functional theory data (GGA-PBE) for a relaxed ZnNi2Se crystal.

VASP energy: -4.1018 eV/atom
uncorrected formation energy: -0.022 eV per atom
DOS at the Fermi energy: 0.691 states/eV/atom
space-group type: Cm, No. 8

POSCAR file:
```
ZnNi2Se
1.0
4.629 -0.023 -0.018
3.471 3.064 -0.018
0.904 0.339 3.803
Ni Zn Se
2 1 1
direct
0.762 0.762 0.687
0.986 0.986 0.053
0.252 0.252 0.188
0.499 0.499 0.572
```